# K2Pu3PaO12 (PBE, relaxed)
data_K2Pu3PaO12
_cell_length_a 7.9150
_cell_length_b 7.9150
_cell_length_c 19.4712
_cell_angle_alpha 90.00
_cell_angle_beta 90.00
_cell_angle_gamma 120.00
_symmetry_space_group_name_H-M 'R -3 m'
_symmetry_Int_Tables_number 166
_symmetry_space_group_name_Hall '-R 3 2"'
loop_
_atom_site_label
_atom_site_type_symbol
_atom_site_fract_x
_atom_site_fract_y
_atom_site_fract_z
K1 K 0.0000 0.0000 0.1767
Pu1 Pu 0.0000 0.5000 0.0000
Pa1 Pa 0.0000 0.0000 0.5000
O1 O 0.0705 0.5352 0.1039
O2 O 0.0903 0.5452 0.3558
# DOS at the Fermi energy = 38.69 states/eV/cell
# formation energy from raw total energies = -4665.3 kJ/mol of formula units
# magnetization = 7.00 μB per formula unit
# ρ = 5.82 Mg/m³